Entry 1:
VASP calculation (PBE-GGA) on Ti3Ga2N after structural relaxation.

Unit cell a=6.8747 b=6.8747 c=6.8747 alpha=90.00 beta=90.00 gamma=90.00
With the nearest neighbours (Å) after each atom.
Atoms (fractional coordinates):
Ti: 0.6250 0.2905 0.5405  2 N 2.14
Ti: 0.7095 0.0405 0.8750  2 N 2.14
Ti: 0.5405 0.6250 0.2905  2 N 2.14
Ti: 0.9595 0.3750 0.7905  2 N 2.14
Ti: 0.2905 0.5405 0.6250  2 N 2.14
Ti: 0.4595 0.1250 0.2095  2 N 2.14
Ti: 0.0405 0.8750 0.7095  2 N 2.14
Ti: 0.7905 0.9595 0.3750  2 N 2.14
Ti: 0.2095 0.4595 0.1250  2 N 2.14
Ti: 0.8750 0.7095 0.0405  2 N 2.14
Ti: 0.3750 0.7905 0.9595  2 N 2.14
Ti: 0.1250 0.2095 0.4595  2 N 2.14
Ga: 0.5698 0.4302 0.9302  3 Ga 2.55, 3 Ti 2.82
Ga: 0.6802 0.6802 0.6802  3 Ga 2.55, 3 Ti 2.82
Ga: 0.9302 0.5698 0.4302  3 Ga 2.55, 3 Ti 2.82
Ga: 0.4302 0.9302 0.5698  3 Ga 2.55, 3 Ti 2.82
Ga: 0.1802 0.8198 0.3198  3 Ga 2.55, 3 Ti 2.82
Ga: 0.8198 0.3198 0.1802  3 Ga 2.55, 3 Ti 2.82
Ga: 0.3198 0.1802 0.8198  3 Ga 2.55, 3 Ti 2.82
Ga: 0.0698 0.0698 0.0698  3 Ga 2.55, 3 Ti 2.82
N: 0.8750 0.1250 0.6250  6 Ti 2.14
N: 0.1250 0.6250 0.8750  6 Ti 2.14
N: 0.6250 0.8750 0.1250  6 Ti 2.14
N: 0.3750 0.3750 0.3750  6 Ti 2.14

E above lowest polymorph	0.0	kJ/mol of atoms
calculated density	6.1	g cm⁻³
total magnetization	0.000	μB/f.u.
calculated volume	13.54	Å³/atom
E	-174.2	eV/cell
formation energy (no corrections)	-914	meV per atom



Entry 2:
VASP calculation (PBE-GGA) on Ti4Ga2N after structural relaxation.

Unit cell a=8.2589 b=8.2589 c=8.2589 alpha=60.00 beta=60.00 gamma=60.00
With the nearest neighbours (Å) after each atom.
Atoms (fractional coordinates):
Ti: 0.0641 0.0641 0.4359  2 N 2.18
Ti: 0.6250 0.1250 0.6250  6 Ga 2.60
Ti: 0.1859 0.8141 0.8141  2 N 2.18
Ti: 0.0641 0.4359 0.0641  2 N 2.18
Ti: 0.4359 0.4359 0.0641  2 N 2.18
Ti: 0.8141 0.1859 0.1859  2 N 2.18
Ti: 0.1859 0.8141 0.1859  2 N 2.18
Ti: 0.1859 0.1859 0.8141  2 N 2.18
Ti: 0.4359 0.0641 0.0641  2 N 2.18
Ti: 0.8141 0.8141 0.1859  2 N 2.18
Ti: 0.6250 0.6250 0.1250  6 Ga 2.60
Ti: 0.0641 0.4359 0.4359  2 N 2.18
Ti: 0.4359 0.0641 0.4359  2 N 2.18
Ti: 0.8141 0.1859 0.8141  2 N 2.18
Ti: 0.6250 0.6250 0.6250  6 Ga 2.60
Ti: 0.1250 0.6250 0.6250  6 Ga 2.60
Ga: 0.4070 0.4070 0.7791  6 Ti 2.60-2.61
Ga: 0.4070 0.7791 0.4070  6 Ti 2.60-2.61
Ga: 0.4070 0.4070 0.4070  6 Ti 2.60-2.61
Ga: 0.8430 0.8430 0.8430  6 Ti 2.60-2.61
Ga: 0.8430 0.8430 0.4709  6 Ti 2.60-2.61
Ga: 0.4709 0.8430 0.8430  6 Ti 2.60-2.61
Ga: 0.7791 0.4070 0.4070  6 Ti 2.60-2.61
Ga: 0.8430 0.4709 0.8430  6 Ti 2.60-2.61
N: 0.6250 0.1250 0.1250  6 Ti 2.18
N: 0.1250 0.6250 0.1250  6 Ti 2.18
N: 0.1250 0.1250 0.1250  6 Ti 2.18
N: 0.1250 0.1250 0.6250  6 Ti 2.18

E above lowest polymorph	0.0	kJ/mol of atoms
calculated density	5.8	g cm⁻³
total magnetization	0.000	μB/f.u.
calculated volume	14.23	Å³/atom
E	-206.0	eV/cell
formation energy (no corrections)	-791	meV per atom



Entry 3:
VASP calculation (PBE-GGA) on Ti4Ga2N after structural relaxation.

Unit cell a=3.0252 b=7.4136 c=7.1005 alpha=138.48 beta=90.00 gamma=90.00
With the nearest neighbours (Å) after each atom.
Atoms (fractional coordinates):
Ti: 0.5000 0.9186 0.7812  2 N 2.08
Ti: 0.0000 0.4491 0.2357  1 N 2.08
Ti: 0.5000 0.2242 0.3617  2 N 2.08
Ti: 0.0000 0.6937 0.9072  1 N 2.08
Ga: 0.5000 0.3190 0.8173  2 Ga 2.54-2.61, 6 Ti 2.75-2.78
Ga: 0.5000 0.8238 0.3256  2 Ga 2.54-2.61, 6 Ti 2.75-2.79
N: 0.0000 0.0714 0.0715  6 Ti 2.08

E above lowest polymorph	4.4	kJ/mol of atoms
calculated density	5.4	g cm⁻³
total magnetization	0.000	μB/f.u.
calculated volume	15.08	Å³/atom
E	-51.2	eV/cell
formation energy (no corrections)	-746	meV per atom



Entry 4:
VASP calculation (PBE-GGA) on TiGaN3 after structural relaxation.

Unit cell a=3.7524 b=3.7524 c=3.7524 alpha=90.00 beta=90.00 gamma=90.00
With the nearest neighbours (Å) after each atom.
Atoms (fractional coordinates):
N: 0.0000 0.5000 0.0000  2 Ga 1.88
N: 0.0000 0.0000 0.5000  2 Ga 1.88
N: 0.5000 0.0000 0.0000  2 Ga 1.88
Ga: 0.0000 0.0000 0.0000  6 N 1.88
Ti: 0.5000 0.5000 0.5000  12 N 2.65

calculated density	5.0	g cm⁻³
total magnetization	0.000	μB/f.u.
calculated volume	10.57	Å³/atom
E	-31.0	eV/cell
formation energy (no corrections)	981	meV per atom



Entry 5:
VASP calculation (PBE-GGA) on TiGaN after structural relaxation.

Unit cell a=5.5484 b=5.5484 c=5.5935 alpha=90.00 beta=90.00 gamma=90.00
With the nearest neighbours (Å) after each atom.
Atoms (fractional coordinates):
Ti: 0.3469 0.3469 0.0000  3 N 1.98-1.99
Ti: 0.6531 0.6531 0.5000  3 N 1.98-1.99
Ti: 0.1531 0.8469 0.2500  3 N 1.98-1.99
Ti: 0.8469 0.1531 0.7500  3 N 1.98-1.99
N: 0.5938 0.4062 0.7500  3 Ti 1.98-1.99
N: 0.9062 0.9062 0.5000  3 Ti 1.98-1.99
N: 0.0938 0.0938 0.0000  3 Ti 1.98-1.99
N: 0.4062 0.5938 0.2500  3 Ti 1.98-1.99
Ga: 0.7809 0.2191 0.2500  2 N 2.34
Ga: 0.7191 0.7191 0.0000  2 N 2.34
Ga: 0.2809 0.2809 0.5000  2 N 2.34
Ga: 0.2191 0.7809 0.7500  2 N 2.34

calculated density	5.1	g cm⁻³
total magnetization	0.000	μB/f.u.
calculated volume	14.35	Å³/atom
E	-83.4	eV/cell
formation energy (no corrections)	-531	meV per atom



Entry 6:
VASP calculation (PBE-GGA) on Ti4GaN after structural relaxation.

Unit cell a=4.0404 b=7.6093 c=7.2315 alpha=90.00 beta=90.00 gamma=122.08
With the nearest neighbours (Å) after each atom.
Atoms (fractional coordinates):
Ti: 0.5082 0.7581 0.7500  1 N 1.99
Ti: 0.4918 0.2419 0.2500  1 N 1.99
Ti: 0.2971 0.0471 0.7500  2 N 2.02
Ti: 0.7029 0.9529 0.2500  2 N 2.02
Ti: 0.9655 0.7156 0.0465  1 N 2.03
Ti: 0.0345 0.2844 0.5465  1 N 2.03
Ti: 0.9655 0.7156 0.4535  1 N 2.03
Ti: 0.0345 0.2844 0.9535  1 N 2.03
Ga: 0.7142 0.4642 0.7500  9 Ti 2.69-2.77
Ga: 0.2858 0.5358 0.2500  9 Ti 2.69-2.77
N: 0.8167 0.0667 0.7500  5 Ti 1.99-2.03
N: 0.1833 0.9333 0.2500  5 Ti 1.99-2.03

E above lowest polymorph	15.9	kJ/mol of atoms
calculated density	4.9	g cm⁻³
total magnetization	0.012	μB/f.u.
calculated volume	15.70	Å³/atom
E	-91.7	eV/cell
formation energy (no corrections)	-488	meV per atom



Entry 7:
VASP calculation (PBE-GGA) on Ti3VGa2N after structural relaxation.

Unit cell a=3.8216 b=4.0113 c=7.3878 alpha=105.75 beta=104.99 gamma=90.00
With the nearest neighbours (Å) after each atom.
Atoms (fractional coordinates):
Ti: 0.0000 0.5000 0.0000  2 N 2.01
Ti: 0.1573 0.1573 0.3147  1 N 2.16
Ti: 0.8427 0.8427 0.6853  1 N 2.16
V: 0.5000 0.0000 0.0000  2 N 1.91
Ga: 0.6437 0.6437 0.2874  7 Ti 2.73-2.78, 2 V 2.81
Ga: 0.3563 0.3563 0.7126  7 Ti 2.73-2.78, 2 V 2.81
N: 0.0000 0.0000 0.0000  2 V 1.91, 2 Ti 2.01

calculated density	5.5	g cm⁻³
total magnetization	0.000	μB/f.u.
calculated volume	15.00	Å³/atom
E	-52.1	eV/cell
formation energy (no corrections)	-709	meV per atom



Entry 8:
VASP calculation (PBE-GGA) on YTi2GaN after structural relaxation.

Unit cell a=4.1759 b=4.1759 c=4.7212 alpha=90.00 beta=90.00 gamma=90.00
With the nearest neighbours (Å) after each atom.
Atoms (fractional coordinates):
Y: 0.0000 0.0000 0.5000  2 N 2.36
N: 0.0000 0.0000 0.0000  4 Ti 2.09
Ga: 0.5000 0.5000 0.5000  4 Y 2.95, 8 Ti 3.15
Ti: 0.0000 0.5000 0.0000  2 N 2.09
Ti: 0.5000 0.0000 0.0000  2 N 2.09

calculated density	5.4	g cm⁻³
total magnetization	0.893	μB/f.u.
calculated volume	16.47	Å³/atom
E	-38.0	eV/cell
formation energy (no corrections)	-872	meV per atom



Entry 9:
VASP calculation (PBE-GGA) on Zr2TiGaN after structural relaxation.

Unit cell a=4.5319 b=4.5319 c=4.0106 alpha=90.00 beta=90.00 gamma=90.00
With the nearest neighbours (Å) after each atom.
Atoms (fractional coordinates):
N: 0.0000 0.0000 0.0000  2 Ti 2.01
Ga: 0.5000 0.5000 0.5000  8 Zr 3.03, 4 Ti 3.20
Zr: 0.0000 0.5000 0.0000  2 N 2.27
Zr: 0.5000 0.0000 0.0000  2 N 2.27
Ti: 0.0000 0.0000 0.5000  2 N 2.01

calculated density	6.3	g cm⁻³
total magnetization	0.000	μB/f.u.
calculated volume	16.47	Å³/atom
E	-41.1	eV/cell
formation energy (no corrections)	-944	meV per atom



Entry 10:
VASP calculation (PBE-GGA) on ZrTi2GaN after structural relaxation.

Unit cell a=4.0862 b=4.0862 c=4.5612 alpha=90.00 beta=90.00 gamma=90.00
With the nearest neighbours (Å) after each atom.
Atoms (fractional coordinates):
N: 0.0000 0.0000 0.0000  4 Ti 2.04, 2 Zr 2.28
Ga: 0.5000 0.5000 0.5000  4 Zr 2.89, 8 Ti 3.06
Zr: 0.0000 0.0000 0.5000  2 N 2.28
Ti: 0.0000 0.5000 0.0000  2 N 2.04
Ti: 0.5000 0.0000 0.0000  2 N 2.04

calculated density	5.9	g cm⁻³
total magnetization	0.000	μB/f.u.
calculated volume	15.23	Å³/atom
E	-40.5	eV/cell
formation energy (no corrections)	-966	meV per atom



Entry 11:
VASP calculation (PBE-GGA) on Tl3GaN after structural relaxation.

Unit cell a=5.0063 b=5.0063 c=5.0063 alpha=90.00 beta=90.00 gamma=90.00
With the nearest neighbours (Å) after each atom.
Atoms (fractional coordinates):
Tl: 0.0000 0.5000 0.0000  2 N 2.50
Tl: 0.0000 0.0000 0.5000  2 N 2.50
Tl: 0.5000 0.0000 0.0000  2 N 2.50
Ga: 0.5000 0.5000 0.5000  12 Tl 3.54
N: 0.0000 0.0000 0.0000  6 Tl 2.50

E above lowest polymorph	0.0	kJ/mol of atoms
calculated density	9.2	g cm⁻³
total magnetization	0.000	μB/f.u.
calculated volume	25.09	Å³/atom
E	-14.9	eV/cell
formation energy (no corrections)	705	meV per atom



Entry 12:
VASP calculation (PBE-GGA) on TlGaN2 after structural relaxation.

Unit cell a=6.1921 b=6.1921 c=6.1921 alpha=34.50 beta=34.50 gamma=34.50
With the nearest neighbours (Å) after each atom.
Atoms (fractional coordinates):
Tl: 0.5000 0.5000 0.5000  6 N 2.41
Ga: 0.0000 0.0000 0.0000  2 N 1.77
N: 0.8986 0.8986 0.8986  1 Ga 1.77
N: 0.1014 0.1014 0.1014  1 Ga 1.77

E above lowest polymorph	54.0	kJ/mol of atoms
calculated density	7.4	g cm⁻³
total magnetization	0.000	μB/f.u.
calculated volume	16.99	Å³/atom
E	-18.8	eV/cell
formation energy (no corrections)	813	meV per atom



Entry 13:
VASP calculation (PBE-GGA) on TlGaN3 after structural relaxation.

Unit cell a=4.0203 b=4.0203 c=4.0203 alpha=90.00 beta=90.00 gamma=90.00
With the nearest neighbours (Å) after each atom.
Atoms (fractional coordinates):
Tl: 0.5000 0.5000 0.5000  12 N 2.84
Ga: 0.0000 0.0000 0.0000  6 N 2.01
N: 0.0000 0.5000 0.0000  2 Ga 2.01
N: 0.0000 0.0000 0.5000  2 Ga 2.01
N: 0.5000 0.0000 0.0000  2 Ga 2.01

calculated density	8.1	g cm⁻³
total magnetization	3.985	μB/f.u.
calculated volume	13.00	Å³/atom
E	-22.5	eV/cell
formation energy (no corrections)	1581	meV per atom



Entry 14:
VASP calculation (PBE-GGA) on Tl3GaN after structural relaxation.

Unit cell a=5.3873 b=5.3873 c=5.3873 alpha=90.00 beta=90.00 gamma=90.00
With the nearest neighbours (Å) after each atom.
Atoms (fractional coordinates):
Tl: 0.0000 0.5000 0.0000  2 Ga 2.69
Tl: 0.0000 0.0000 0.5000  2 Ga 2.69
Tl: 0.5000 0.0000 0.0000  2 Ga 2.69
Ga: 0.0000 0.0000 0.0000  6 Tl 2.69
N: 0.5000 0.5000 0.5000  12 Tl 3.81

E above lowest polymorph	58.5	kJ/mol of atoms
calculated density	7.4	g cm⁻³
total magnetization	0.000	μB/f.u.
calculated volume	31.27	Å³/atom
E	-11.9	eV/cell
formation energy (no corrections)	1311	meV per atom



Entry 15:
VASP calculation (PBE-GGA) on TlGa3N after structural relaxation.

Unit cell a=5.3274 b=5.3274 c=5.3274 alpha=90.00 beta=90.00 gamma=90.00
With the nearest neighbours (Å) after each atom.
Atoms (fractional coordinates):
Tl: 0.0000 0.0000 0.0000  6 Ga 2.66
Ga: 0.0000 0.5000 0.0000  2 Tl 2.66
Ga: 0.0000 0.0000 0.5000  2 Tl 2.66
Ga: 0.5000 0.0000 0.0000  2 Tl 2.66
N: 0.5000 0.5000 0.5000  12 Ga 3.77

E above lowest polymorph	120.2	kJ/mol of atoms
calculated density	4.7	g cm⁻³
total magnetization	0.000	μB/f.u.
calculated volume	30.24	Å³/atom
E	-11.3	eV/cell
formation energy (no corrections)	1685	meV per atom



Entry 16:
VASP calculation (PBE-GGA) on TlGaN2 after structural relaxation.

Unit cell a=6.4175 b=6.4175 c=6.4175 alpha=29.57 beta=29.57 gamma=29.57
With the nearest neighbours (Å) after each atom.
Atoms (fractional coordinates):
Tl: 0.0000 0.0000 0.0000  2 N 2.08
Ga: 0.5000 0.5000 0.5000  6 N 2.13
N: 0.8869 0.8869 0.8869  1 Tl 2.08, 3 Ga 2.13
N: 0.1131 0.1131 0.1131  1 Tl 2.08, 3 Ga 2.13

E above lowest polymorph	44.2	kJ/mol of atoms
calculated density	8.8	g cm⁻³
total magnetization	0.000	μB/f.u.
calculated volume	14.25	Å³/atom
E	-19.2	eV/cell
formation energy (no corrections)	711	meV per atom



Entry 17:
VASP calculation (PBE-GGA) on TlGaN2 after structural relaxation.

Unit cell a=4.1836 b=4.1836 c=4.1836 alpha=60.00 beta=60.00 gamma=60.00
With the nearest neighbours (Å) after each atom.
Atoms (fractional coordinates):
Tl: 0.5000 0.5000 0.5000  8 N 2.56
Ga: 0.0000 0.0000 0.0000  8 N 2.56
N: 0.2500 0.2500 0.2500  4 Tl 2.56, 4 Ga 2.56
N: 0.7500 0.7500 0.7500  4 Tl 2.56, 4 Ga 2.56

E above lowest polymorph	130.8	kJ/mol of atoms
calculated density	9.7	g cm⁻³
total magnetization	0.000	μB/f.u.
calculated volume	12.94	Å³/atom
E	-15.6	eV/cell
formation energy (no corrections)	1608	meV per atom



Entry 18:
VASP calculation (PBE-GGA) on TlGaN3 after structural relaxation.

Unit cell a=4.4152 b=4.4152 c=4.4152 alpha=90.00 beta=90.00 gamma=90.00
With the nearest neighbours (Å) after each atom.
Atoms (fractional coordinates):
Tl: 0.0000 0.0000 0.0000  6 N 2.21
Ga: 0.5000 0.5000 0.5000  12 N 3.12
N: 0.0000 0.5000 0.0000  2 Tl 2.21
N: 0.0000 0.0000 0.5000  2 Tl 2.21
N: 0.5000 0.0000 0.0000  2 Tl 2.21

calculated density	6.1	g cm⁻³
total magnetization	4.743	μB/f.u.
calculated volume	17.21	Å³/atom
E	-18.7	eV/cell
formation energy (no corrections)	2342	meV per atom



Entry 19:
VASP calculation (PBE-GGA) on TlGaN2 after structural relaxation.

Unit cell a=4.9410 b=4.9410 c=5.9246 alpha=65.36 beta=65.36 gamma=90.00
With the nearest neighbours (Å) after each atom.
Atoms (fractional coordinates):
Tl: 0.0000 0.0000 0.0000  4 N 2.28
Tl: 0.7500 0.2500 0.5000  4 N 2.28
Ga: 0.5000 0.5000 0.0000  4 N 1.98
Ga: 0.2500 0.7500 0.5000  4 N 1.98
N: 0.5722 0.1250 0.2500  2 Ga 1.98
N: 0.1778 0.6250 0.2500  2 Ga 1.98
N: 0.3750 0.4278 0.7500  2 Ga 1.98
N: 0.8750 0.8222 0.7500  2 Ga 1.98

E above lowest polymorph	0.0	kJ/mol of atoms
calculated density	8.6	g cm⁻³
total magnetization	0.000	μB/f.u.
calculated volume	14.60	Å³/atom
E	-42.1	eV/cell
formation energy (no corrections)	253	meV per atom



Entry 20:
VASP calculation (PBE-GGA) on TlGa3N after structural relaxation.

Unit cell a=4.5117 b=4.5117 c=4.5117 alpha=90.00 beta=90.00 gamma=90.00
With the nearest neighbours (Å) after each atom.
Atoms (fractional coordinates):
Tl: 0.5000 0.5000 0.5000  12 Ga 3.19
Ga: 0.0000 0.5000 0.0000  2 N 2.26
Ga: 0.0000 0.0000 0.5000  2 N 2.26
Ga: 0.5000 0.0000 0.0000  2 N 2.26
N: 0.0000 0.0000 0.0000  6 Ga 2.26

E above lowest polymorph	0.0	kJ/mol of atoms
calculated density	7.7	g cm⁻³
total magnetization	0.000	μB/f.u.
calculated volume	18.37	Å³/atom
E	-17.6	eV/cell
formation energy (no corrections)	440	meV per atom